1.
The following is a PBE calculation of Nd3Y2Er2 after structural relaxation, from the Alexandria database.

Computed properties:
For the energy above the lowest structure with this stoichiometry, the calculation gives 0 meV/atom. For the total magnetic moment, the calculation gives 0.000 μB/f.u. The value obtained for the formation energy is 17 meV per atom.

a b c (Å): 3.6040 11.9132 6.2388
angles (deg): 69.73 73.16 98.66
Closest atoms and distances in Å follow each position.
Fractional positions:
Nd 0.0000 0.0000 0.0000  4 Er 3.58, 6 Y 3.59-3.61, 2 Nd 3.60
Nd 0.5723 0.4301 0.2862  5 Nd 3.56-3.61, 5 Er 3.59-3.62, 2 Y 3.61-3.62
Nd 0.4277 0.5699 0.7138  5 Nd 3.56-3.61, 5 Er 3.59-3.62, 2 Y 3.61-3.62
Y 0.8573 0.1426 0.4273  3 Er 3.59-3.61, 5 Nd 3.59-3.62, 4 Y 3.59-3.60
Y 0.1427 0.8574 0.5727  3 Er 3.59-3.61, 5 Nd 3.59-3.62, 4 Y 3.59-3.60
Er 0.7123 0.2842 0.8598  7 Nd 3.58-3.62, 3 Y 3.59-3.61, 2 Er 3.60
Er 0.2877 0.7158 0.1402  7 Nd 3.58-3.62, 3 Y 3.59-3.61, 2 Er 3.60

2.
The following is a PBE calculation of AcTbHoSc after structural relaxation, from the Alexandria database.

Computed properties:
For the total magnetic moment, the calculation gives 0.000 μB/f.u. The value obtained for the formation energy is 123 meV per atom.

a b c (Å): 5.7049 5.7049 5.7049
angles (deg): 60.00 60.00 60.00
Closest atoms and distances in Å follow each position.
Fractional positions:
Sc 0.0000 0.0000 0.0000  4 Ac 3.49, 4 Tb 3.49
Ac 0.7500 0.7500 0.7500  4 Ho 3.49, 4 Sc 3.49
Tb 0.2500 0.2500 0.2500  4 Sc 3.49, 4 Ho 3.49
Ho 0.5000 0.5000 0.5000  4 Tb 3.49, 4 Ac 3.49

Q: Which value of total magnetic moment does entry 2 give?
A: 0.000 μB/f.u.

Q: What is the total magnetic moment in the second record?
A: 0.000 μB/f.u.